A plane-wave DFT calculation with PBE-GGA was carried out for a relaxed HfSbSeBr2 crystal.

The structure in extended XYZ format:
```
5
Lattice="5.3460 0.0000 0.0000 0.0000 5.3460 0.0000 0.0000 0.0000 5.2338" Properties=species:S:1:pos:R:3 pbc="T T T"
Sb 2.6730 2.6730 2.6169
Hf 0.0000 0.0000 0.0000
Se 0.0000 0.0000 2.6169
Br 0.0000 2.6730 0.0000
Br 2.6730 0.0000 0.0000
```

Results
energy above the lowest structure with this stoichiometry	0	meV per atom
E_tot	-22.34	eV per cell
space group	P4/mmm
energy relative to the elements, uncorrected	-0.288	eV/atom

=====

A plane-wave DFT calculation with PBE-GGA was carried out for a relaxed TbDyTlPb crystal.

The structure in extended XYZ format:
```
4
Lattice="5.4141 0.0000 0.0000 2.7071 4.6888 0.0000 2.7071 1.5629 4.4206" Properties=species:S:1:pos:R:3 pbc="T T T"
Pb 5.4141 3.1258 2.2103
Tl 0.0000 0.0000 0.0000
Tb 2.7071 1.5629 1.1052
Dy 8.1212 4.6888 3.3155
```

Results
DFT formation energy	-0.363	eV per atom
energy above the lowest structure with this stoichiometry	36	meV per atom
E_tot	-16.76	eV per cell
space group	F-43m

=====

A plane-wave DFT calculation with PBE-GGA was carried out for a relaxed Tc3HgPt crystal.

The structure in extended XYZ format:
```
5
Lattice="4.7958 0.0000 0.0000 0.0000 4.7958 0.0000 0.0000 0.0000 4.7958" Properties=species:S:1:pos:R:3 pbc="T T T"
Hg 2.3979 2.3979 2.3979
Pt 0.0000 0.0000 0.0000
Tc 0.0000 2.3979 0.0000
Tc 0.0000 0.0000 2.3979
Tc 2.3979 0.0000 0.0000
```

Results
DFT formation energy	1.841	eV per atom
energy above the lowest structure with this stoichiometry	0	meV per atom
E_tot	-28.23	eV per cell
space group	Pm-3m

=====

A plane-wave DFT calculation with PBE-GGA was carried out for a relaxed CdFe2Ni crystal.

The structure in extended XYZ format:
```
4
Lattice="3.9975 0.0000 0.0000 0.0000 3.6982 0.0000 0.0000 0.0000 3.6982" Properties=species:S:1:pos:R:3 pbc="T T T"
Cd 1.9988 0.0000 1.8491
Fe 0.0000 0.0000 0.0000
Fe 0.0000 1.8491 1.8491
Ni 1.9988 1.8491 0.0000
```

Results
DFT formation energy	0.240	eV per atom
E_tot	-22.66	eV per cell
space group	P4/mmm

=====

A plane-wave DFT calculation with PBE-GGA was carried out for a relaxed LuScPd crystal.

The structure in extended XYZ format:
```
3
Lattice="4.6889 0.0000 0.0000 2.3445 4.0607 0.0000 2.3445 1.3536 3.8285" Properties=species:S:1:pos:R:3 pbc="T T T"
Sc 4.6889 2.7071 1.9142
Lu 0.0000 0.0000 0.0000
Pd 2.3445 1.3536 0.9571
```

Results
DFT formation energy	-0.488	eV per atom
energy above the lowest structure with this stoichiometry	81	meV per atom
E_tot	-17.51	eV per cell
space group	F-43m

=====

A plane-wave DFT calculation with PBE-GGA was carried out for a relaxed V4PSe5 crystal.

The structure in extended XYZ format:
```
10
Lattice="3.4071 0.0000 0.0000 0.0000 7.1347 -0.2996 -1.7036 -1.3258 7.6809" Properties=species:S:1:pos:R:3 pbc="T T T"
V 0.0000 5.6274 5.1536
V 1.7036 4.2549 7.4222
V 1.7036 0.1815 2.2277
V 0.0000 1.5540 -0.0409
P 1.7036 0.0000 0.0000
Se 1.7036 3.8245 4.9822
Se 1.7036 0.2807 4.9801
Se 0.0000 5.5282 2.4012
Se 1.7036 3.5674 -0.1498
Se 0.0000 1.9844 2.3991
```

Results
E_tot	-65.22	eV per cell
space group	C2/m
energy relative to the elements, uncorrected	-0.591	eV/atom

=====

What are the density values for these records? In order: 6.0 10.8 10.4 8.6 7.4 5.6 g cm⁻³.